1.
# SiNi2Sn2, optimized geometry, DFT PBE
data_SiNi2Sn2
_cell_length_a 6.420
_cell_length_b 6.420
_cell_length_c 4.104
_cell_angle_alpha 90.00
_cell_angle_beta 90.00
_cell_angle_gamma 90.00
_symmetry_space_group_name_H-M 'P 4/m b m'
_symmetry_Int_Tables_number 127
_symmetry_space_group_name_Hall '-P 4 2ab'
loop_
_atom_site_label
_atom_site_type_symbol
_atom_site_fract_x
_atom_site_fract_y
_atom_site_fract_z
Si1 Si 0.000 0.000 0.000
Ni1 Ni 0.150 0.350 0.000
Sn1 Sn 0.166 0.666 0.500
# DOS(E_F) ... 3.2 states/eV/f.u.
# Volume ... 169.18 Å³ per cell
# Formation energy without anion corrections ... 48 meV/atom
# Calculated total energy ... -4.950 eV per atom
# Calculated density ... 7.5 Mg/m³



2.
# ScTa2Os, optimized geometry, DFT PBE
data_ScTa2Os
_cell_length_a 3.227
_cell_length_b 4.562
_cell_length_c 4.734
_cell_angle_alpha 90.00
_cell_angle_beta 90.00
_cell_angle_gamma 90.00
_symmetry_space_group_name_H-M 'P m m m'
_symmetry_Int_Tables_number 47
_symmetry_space_group_name_Hall '-P 2 2'
loop_
_atom_site_label
_atom_site_type_symbol
_atom_site_fract_x
_atom_site_fract_y
_atom_site_fract_z
Sc1 Sc 0.000 0.000 0.000
Ta1 Ta 0.000 0.500 0.500
Ta2 Ta 0.500 0.000 0.500
Os1 Os 0.500 0.500 0.000
# DOS(E_F) ... 4.2 states/eV/f.u.
# Volume ... 69.69 Å³ per cell
# Calculated total energy ... -10.418 eV per atom
# Calculated density ... 14.2 Mg/m³
# Energy of formation from the pure elements ... -0.10 eV/atom



3.
# K4I2N, optimized geometry, DFT PBE
data_K4I2N
_cell_length_a 5.379
_cell_length_b 5.379
_cell_length_c 18.270
_cell_angle_alpha 90.00
_cell_angle_beta 90.00
_cell_angle_gamma 90.00
_symmetry_space_group_name_H-M 'I 4/m m m'
_symmetry_Int_Tables_number 139
_symmetry_space_group_name_Hall '-I 4 2'
loop_
_atom_site_label
_atom_site_type_symbol
_atom_site_fract_x
_atom_site_fract_y
_atom_site_fract_z
K1 K 0.000 0.000 0.154
K2 K 0.000 0.500 0.000
I1 I 0.000 0.000 0.353
N1 N 0.000 0.000 0.000
# DOS(E_F) ... 1.1 states/eV/f.u.
# Volume ... 528.71 Å³ per cell
# Formation energy without anion corrections ... -602 meV/atom
# Calculated total energy ... -2.861 eV per atom
# Calculated density ... 2.7 Mg/m³
# Distance to the lowest polymorph of the same formula ... 0 meV per atom



4.
# Ba2SrTlH, optimized geometry, DFT PBE
data_Ba2SrTlH
_cell_length_a 5.723
_cell_length_b 5.723
_cell_length_c 5.383
_cell_angle_alpha 90.00
_cell_angle_beta 90.00
_cell_angle_gamma 90.00
_symmetry_space_group_name_H-M 'P 4/m m m'
_symmetry_Int_Tables_number 123
_symmetry_space_group_name_Hall '-P 4 2'
loop_
_atom_site_label
_atom_site_type_symbol
_atom_site_fract_x
_atom_site_fract_y
_atom_site_fract_z
Ba1 Ba 0.000 0.500 0.000
Sr1 Sr 0.000 0.000 0.500
Tl1 Tl 0.500 0.500 0.500
H1 H 0.500 0.500 0.000
# DOS(E_F) ... 3.5 states/eV/f.u.
# Volume ... 176.34 Å³ per cell
# Calculated total energy ... -2.401 eV per atom
# Calculated density ... 5.3 Mg/m³
# Distance to the lowest polymorph of the same formula ... 118 meV per atom